Here is a geometry-optimized Ce2YAg2Pb2 structure from the Alexandria database. Energies are from PBE-GGA.

a = 9.4176 Å, b = 9.4176 Å, c = 9.4176 Å
α = 29.69°, β = 29.69°, γ = 29.69°
Last column: nearest neighbours and their distance in Å.
Positions (direct):
Ce 0.1442 0.1442 0.1442  3 Ce 3.04, 3 Ag 3.06
Ce 0.8558 0.8558 0.8558  3 Ce 3.04, 3 Ag 3.06
Y 0.0000 0.0000 0.0000  6 Pb 3.25
Ag 0.4304 0.4304 0.4304  3 Pb 2.94, 3 Ce 3.06
Ag 0.5696 0.5696 0.5696  3 Pb 2.94, 3 Ce 3.06
Pb 0.2713 0.2713 0.2713  3 Ag 2.94, 3 Y 3.25
Pb 0.7287 0.7287 0.7287  3 Ag 2.94, 3 Y 3.25

ΔH_f (0 K), eV/atom: -0.21
M_tot, μB/f.u.: 2.506
Space-group type: R-3m, No. 166